## Cs2Co2O (PBE+U)

Data for Cs2Co2O after structural relaxation.

CIF file:
```
data_Cs2Co2O
_chemical_formula_sum 'Cs2 Co2 O1'
_cell_length_a 5.850
_cell_length_b 5.850
_cell_length_c 5.850
_cell_angle_alpha 109.15
_cell_angle_beta 109.15
_cell_angle_gamma 110.12
_symmetry_space_group_name_H-M 'P 1'
_symmetry_Int_Tables_number 1
_symmetry_space_group_name_Hall 'P 1'
loop_
_atom_site_label
_atom_site_type_symbol
_atom_site_fract_x
_atom_site_fract_y
_atom_site_fract_z
Cs1 Cs 0.250 0.750 0.500
Cs2 Cs 0.750 0.250 0.500
Co1 Co 0.218 0.218 0.000
Co2 Co 0.782 0.782 0.000
O1 O 0.500 0.500 0.000
```

Properties
**Space group**: I4/mmm
**Spin magnetization**: 4.0 μB per cell
**Density**: 4.308 g/cm3
**Raw total energy**: -15.88 eV per formula unit